Computed, not measured: crystalline Ba6Sr2Ni at its relaxed geometry at the GGA-PBE level of DFT.

abc: 8.9433 8.9433 8.9443
angles: 59.99 59.99 60.00
With the nearest neighbours (Å) after each atom.
Sites, in units of the cell vectors:
Ba 0.2564 0.7434 0.7436  1 Ni 3.08
Ba 0.7434 0.2564 0.7436  1 Ni 3.08
Ba 0.7436 0.2566 0.2564  1 Ni 3.08
Ba 0.7435 0.7435 0.2568  1 Ni 3.08
Ba 0.2565 0.2565 0.7432  1 Ni 3.08
Ba 0.2566 0.7436 0.2564  1 Ni 3.08
Sr 0.7500 0.7500 0.7501  12 Ba 4.47
Sr 0.2500 0.2500 0.2499  12 Ba 4.47
Ni 0.5000 0.5000 0.5000  6 Ba 3.08

## Properties
DOS(E_F) ... 8.98 states/eV/f.u.
Energy of formation from the pure elements ... -0.8 kJ per mole of atoms
Energy ... -2.307 eV/atom
ρ ... 3.47 g/cm3



Computed, not measured: crystalline Si2OsCl at its relaxed geometry at the GGA-PBE level of DFT.

abc: 5.8014 5.8014 6.8841
angles: 65.08 65.08 90.00
With the nearest neighbours (Å) after each atom.
Sites, in units of the cell vectors:
Si 0.0571 0.6250 0.2500  2 Os 2.26
Si 0.6929 0.1250 0.2500  2 Os 2.26
Si 0.8750 0.9429 0.7500  2 Os 2.26
Si 0.3750 0.3071 0.7500  2 Os 2.26
Os 0.0000 0.0000 0.0000  4 Si 2.26
Os 0.7500 0.2500 0.5000  4 Si 2.26
Cl 0.2500 0.7500 0.5000  4 Si 2.72
Cl 0.5000 0.5000 0.0000  4 Si 2.72

## Properties
Excess energy over the best structure of this formula in the dataset ... 1.71 eV/f.u.
DOS(E_F) ... 2.37 states/eV/f.u.
Uncorrected formation energy ... 339.2 meV per atom
Energy ... -5.641 eV/atom
ρ ... 5.03 g/cm3



Computed, not measured: crystalline Pu3Hg5 at its relaxed geometry at the GGA-PBE level of DFT.

abc: 5.3942 6.5356 6.5356
angles: 114.46 90.00 90.00
With the nearest neighbours (Å) after each atom.
Sites, in units of the cell vectors:
Pu 0.5000 0.2303 0.7697  8 Hg 3.18-3.37
Pu 0.5000 0.7697 0.2303  8 Hg 3.18-3.37
Pu 0.0000 0.5000 0.5000  8 Hg 3.14-3.27
Hg 0.5000 0.2723 0.2723  6 Pu 3.14-3.37, 3 Hg 3.22-3.31
Hg 0.0000 0.0000 0.0000  8 Hg 3.27-3.31, 2 Pu 3.54
Hg 0.0000 0.5000 0.0000  6 Pu 3.23-3.27, 4 Hg 3.27-3.54
Hg 0.5000 0.7277 0.7277  6 Pu 3.14-3.37, 3 Hg 3.22-3.31
Hg 0.0000 0.0000 0.5000  6 Pu 3.23-3.27, 4 Hg 3.27-3.54

## Properties
Excess energy over the best structure of this formula in the dataset ... 0.00 eV/f.u.
DOS(E_F) ... 34.57 states/eV/f.u.
Energy of formation from the pure elements ... -9.4 kJ per mole of atoms
Energy ... -5.661 eV/atom
ρ ... 13.74 g/cm3



Computed, not measured: crystalline Li2NiGe2 at its relaxed geometry at the GGA-PBE level of DFT.

abc: 6.1466 6.1466 4.1351
angles: 90.00 90.00 90.00
With the nearest neighbours (Å) after each atom.
Sites, in units of the cell vectors:
Ge 0.3557 0.8557 0.0000  2 Ni 2.36, 1 Ge 2.51, 2 Li 2.64
Ge 0.8557 0.6443 0.0000  2 Ni 2.36, 1 Ge 2.51, 2 Li 2.64
Ge 0.6443 0.1443 0.0000  2 Ni 2.36, 1 Ge 2.51, 2 Li 2.64
Ge 0.1443 0.3557 0.0000  2 Ni 2.36, 1 Ge 2.51, 2 Li 2.64
Li 0.8336 0.3336 0.5000  6 Ge 2.64-2.82, 1 Li 2.89
Li 0.1664 0.6664 0.5000  6 Ge 2.64-2.82, 1 Li 2.89
Li 0.6664 0.8336 0.5000  6 Ge 2.64-2.82, 1 Li 2.89
Li 0.3336 0.1664 0.5000  6 Ge 2.64-2.82, 1 Li 2.89
Ni 0.0000 0.0000 0.0000  4 Ge 2.36
Ni 0.5000 0.5000 0.0000  4 Ge 2.36

## Properties
DOS(E_F) ... 2.16 states/eV/f.u.
Energy of formation from the pure elements ... -27.2 kJ per mole of atoms
Energy ... -4.051 eV/atom
ρ ... 4.63 g/cm3



Computed, not measured: crystalline CsTaTi3 at its relaxed geometry at the GGA-PBE level of DFT.

abc: 4.8497 4.8497 4.8497
angles: 90.00 90.00 90.00
With the nearest neighbours (Å) after each atom.
Sites, in units of the cell vectors:
Ti 0.5000 0.0000 0.0000  2 Cs 2.42
Ti 0.0000 0.0000 0.5000  2 Cs 2.42
Ti 0.0000 0.5000 0.0000  2 Cs 2.42
Cs 0.0000 0.0000 0.0000  6 Ti 2.42
Ta 0.5000 0.5000 0.5000  12 Ti 3.43

## Properties
Excess energy over the best structure of this formula in the dataset ... 4.85 eV/f.u.
DOS(E_F) ... 7.29 states/eV/f.u.
Energy of formation from the pure elements ... 217.9 kJ per mole of atoms
Energy ... -5.020 eV/atom
ρ ... 6.66 g/cm3



Computed, not measured: crystalline CaAg3B at its relaxed geometry at the GGA-PBE level of DFT.

abc: 4.5194 4.5194 4.5194
angles: 90.00 90.00 90.00
With the nearest neighbours (Å) after each atom.
Sites, in units of the cell vectors:
B 0.0000 0.0000 0.0000  6 Ag 2.26
Ag 0.0000 0.0000 0.5000  2 B 2.26
Ag 0.0000 0.5000 0.0000  2 B 2.26
Ag 0.5000 0.0000 0.0000  2 B 2.26
Ca 0.5000 0.5000 0.5000  12 Ag 3.20

## Properties
Excess energy over the best structure of this formula in the dataset ... 0.00 eV/f.u.
DOS(E_F) ... 1.28 states/eV/f.u.
Energy of formation from the pure elements ... 6.8 kJ per mole of atoms
Energy ... -3.376 eV/atom
ρ ... 6.74 g/cm3



Computed, not measured: crystalline Bi2Te4Pb at its relaxed geometry at the GGA-PBE level of DFT.

abc: 14.6743 14.6743 14.6743
angles: 17.61 17.61 17.61
With the nearest neighbours (Å) after each atom.
Sites, in units of the cell vectors:
Te 0.1312 0.1312 0.1312  3 Bi 3.09
Te 0.8688 0.8688 0.8688  3 Bi 3.09
Te 0.7121 0.7121 0.7121  3 Pb 3.26, 3 Bi 3.30
Te 0.2879 0.2879 0.2879  3 Pb 3.26, 3 Bi 3.30
Bi 0.5743 0.5743 0.5743  6 Te 3.09-3.30
Bi 0.4257 0.4257 0.4257  6 Te 3.09-3.30
Pb 0.0000 0.0000 0.0000  6 Te 3.26

## Properties
Excess energy over the best structure of this formula in the dataset ... 0.00 eV/f.u.
Uncorrected formation energy ... -287.8 meV per atom
Energy ... -3.722 eV/atom
ρ ... 7.47 g/cm3



Computed, not measured: crystalline K2ZnTc at its relaxed geometry at the GGA-PBE level of DFT.

abc: 10.3521 10.3521 10.3521
angles: 160.17 159.29 28.82
With the nearest neighbours (Å) after each atom.
Sites, in units of the cell vectors:
K 0.3954 0.3954 0.0000  2 Zn 3.42, 2 Tc 3.46, 4 K 3.56-3.72
K 0.1046 0.1046 0.0000  2 Zn 3.42, 2 Tc 3.46, 4 K 3.56-3.72
Tc 0.7500 0.2500 0.5000  4 Zn 2.58
Zn 0.2500 0.7500 0.5000  4 Tc 2.58

## Properties
DOS(E_F) ... 3.72 states/eV/f.u.
Energy of formation from the pure elements ... 65.7 kJ per mole of atoms
Energy ... -2.778 eV/atom
ρ ... 3.02 g/cm3



Computed, not measured: crystalline CaTcAu at its relaxed geometry at the GGA-PBE level of DFT.

abc: 6.0566 6.0566 6.0566
angles: 147.73 147.73 46.28
With the nearest neighbours (Å) after each atom.
Sites, in units of the cell vectors:
Tc 0.6434 0.6434 0.0000  4 Au 2.73
Au 0.0240 0.0240 0.0000  4 Tc 2.73
Ca 0.3326 0.3326 0.0000  5 Tc 3.18-3.46, 5 Au 3.19-3.44, 4 Ca 3.37

## Properties
Excess energy over the best structure of this formula in the dataset ... 0.12 eV/f.u.
DOS(E_F) ... 2.19 states/eV/f.u.
Energy of formation from the pure elements ... 33.8 kJ per mole of atoms
Energy ... -4.864 eV/atom
ρ ... 8.82 g/cm3



Computed, not measured: crystalline YHgPb2 at its relaxed geometry at the GGA-PBE level of DFT.

abc: 3.4879 3.4879 10.5774
angles: 90.00 90.00 111.35
With the nearest neighbours (Å) after each atom.
Sites, in units of the cell vectors:
Pb 0.0000 0.0000 0.5010  2 Hg 3.29, 2 Y 3.30, 4 Pb 3.49
Pb 0.0000 0.0000 0.9990  2 Hg 3.29, 2 Y 3.30, 4 Pb 3.49
Y 0.5000 0.5000 0.2500  4 Pb 3.30, 4 Y 3.49
Hg 0.5000 0.5000 0.7500  4 Pb 3.29, 4 Hg 3.49

## Properties
DOS(E_F) ... 3.61 states/eV/f.u.
Energy of formation from the pure elements ... -5.1 kJ per mole of atoms
Energy ... -3.599 eV/atom
ρ ... 9.75 g/cm3



Computed, not measured: crystalline Tb3AlAg3Te8 at its relaxed geometry at the GGA-PBE level of DFT.

abc: 8.7317 8.7314 8.5875
angles: 120.65 90.00 120.00
With the nearest neighbours (Å) after each atom.
Sites, in units of the cell vectors:
Ag 0.0000 0.0000 0.0000  6 Te 3.02-3.04
Ag 0.0000 0.5000 0.0000  6 Te 3.01-3.05
Ag 0.5000 0.5000 0.0000  6 Te 3.01-3.05
Tb 0.5000 0.5000 0.5000  6 Te 3.07-3.11
Tb 0.0000 0.5000 0.5000  6 Te 3.07-3.11
Tb 0.5000 0.0000 0.5000  6 Te 3.07-3.11
Te 0.2337 0.4675 0.7406  1 Al 2.86, 2 Ag 3.02, 2 Tb 3.11
Te 0.7739 0.0076 0.7406  1 Al 2.86, 2 Ag 3.01-3.02, 2 Tb 3.11
Te 0.7663 0.9924 0.2594  1 Al 2.86, 2 Ag 3.01-3.02, 2 Tb 3.11
Te 0.7514 0.5027 0.7534  3 Ag 3.04-3.05, 3 Tb 3.07
Te 0.2261 0.9924 0.2594  1 Al 2.86, 2 Ag 3.01-3.02, 2 Tb 3.11
Te 0.7663 0.5325 0.2594  1 Al 2.86, 2 Ag 3.02, 2 Tb 3.11
Te 0.2337 0.0076 0.7406  1 Al 2.86, 2 Ag 3.01-3.02, 2 Tb 3.11
Te 0.2486 0.4973 0.2466  3 Ag 3.04-3.05, 3 Tb 3.07
Al 0.0000 0.0000 0.5000  6 Te 2.86

## Properties
DOS(E_F) ... 6.03 states/eV/f.u.
Uncorrected formation energy ... -700.6 meV per atom
Energy ... -4.122 eV/atom
ρ ... 6.70 g/cm3



Computed, not measured: crystalline LiMgSi2 at its relaxed geometry at the GGA-PBE level of DFT.

abc: 2.8136 2.8136 8.0380
angles: 90.00 90.00 91.71
With the nearest neighbours (Å) after each atom.
Sites, in units of the cell vectors:
Li 0.5000 0.5000 0.2500  8 Si 2.79-2.83, 4 Li 2.81
Mg 0.5000 0.5000 0.7500  4 Mg 2.81, 8 Si 2.83-2.87
Si 0.0000 0.0000 0.4968  4 Li 2.79-2.83, 4 Si 2.81, 4 Mg 2.83-2.87
Si 0.0000 0.0000 0.0032  4 Li 2.79-2.83, 4 Si 2.81, 4 Mg 2.83-2.87

## Properties
DOS(E_F) ... 1.47 states/eV/f.u.
Uncorrected formation energy ... 21.2 meV per atom
Energy ... -3.567 eV/atom
ρ ... 2.28 g/cm3